# 1
The following is a DFT calculation (PBE) of a geometry-optimized TaSBr3 structure.

Formation energy without anion corrections: -0.66 eV/atom
Energy above the most stable polymorph in this dataset: 0 kJ/mol of formula units

a b c (Å): 6.7118 6.7122 7.3823
angles (deg): 90.00 90.00 94.63
Positions (direct):
1 S 0.5211 0.7240 0.5524
2 S 0.0394 0.2417 0.0524
3 Br 0.9712 0.7920 0.3024
4 Br 0.0503 0.2532 0.5524
5 Br 0.5893 0.1737 0.8024
6 Br 0.5103 0.7125 0.0524
7 Br 0.9712 0.7920 0.8024
8 Br 0.5893 0.1737 0.3024
9 Ta 0.7997 0.0024 0.0524
10 Ta 0.7609 0.9633 0.5524

***

# 2
The following is a DFT calculation (PBE) of a geometry-optimized In2OsW structure.

ΔE_f: 0.685 eV/atom
Energy above the most stable polymorph in this dataset: 185 kJ/mol of formula units

a b c (Å): 5.0404 5.0404 5.0404
angles (deg): 131.06 131.06 71.73
Positions (direct):
1 Os 0.5000 0.5000 0.0000
2 W 0.7500 0.2500 0.5000
3 In 0.2500 0.7500 0.5000
4 In 0.0000 0.0000 0.0000

***

# 3
The following is a DFT calculation (PBE) of a geometry-optimized MnBHS2 structure.

a b c (Å): 4.0684 3.9572 4.0684
angles (deg): 90.00 90.00 90.00
Site moments in Bohr magnetons follow the coordinates.
Positions (direct):
1 B 0.0000 0.0000 0.0000  0.00
2 S 0.0000 0.0000 0.5000  0.06
3 S 0.5000 0.0000 0.0000  0.02
4 H 0.5000 0.5000 0.5000  0.21
5 Mn 0.0000 0.5000 0.0000  0.26

***

# 4
The following is a DFT calculation (PBE) of a geometry-optimized Sm3Zn8Hg3 structure.

ΔE_f: -0.307 eV/atom

a b c (Å): 4.5108 8.5036 8.5036
angles (deg): 65.88 74.62 74.62
Positions (direct):
1 Zn 0.3519 0.3808 0.9153
2 Zn 0.3519 0.9153 0.3808
3 Zn 0.6481 0.0847 0.6192
4 Zn 0.1700 0.4626 0.1975
5 Zn 0.8300 0.5374 0.8025
6 Zn 0.6481 0.6192 0.0847
7 Zn 0.8300 0.8025 0.5374
8 Zn 0.1700 0.1975 0.4626
9 Hg 0.5000 0.0000 0.0000
10 Hg 0.0000 0.7795 0.2205
11 Hg 0.0000 0.2205 0.7795
12 Sm 0.8019 0.1981 0.1981
13 Sm 0.5000 0.5000 0.5000
14 Sm 0.1981 0.8019 0.8019

***

Total DFT energy (no corrections) readings, ordered: -4.862 -6.730 -4.221 -2.111 eV/atom